No. 1
First-principles (PBE) data for a geometry-optimized CePuSiIr structure, as listed in Alexandria via LeMat-Bulk.

Unit cell a=4.6362 b=4.6362 c=5.0659 alpha=90.00 beta=90.00 gamma=120.00
With the nearest neighbours (Å) after each atom.
Sites, in units of the cell vectors:
1 Ce 0.0000 0.0000 0.0000  3 Ir 2.94, 3 Si 2.99
2 Pu 0.3333 0.6667 0.4766  3 Ir 2.93, 3 Si 2.98
3 Si 0.6667 0.3333 0.7364  2 Ir 2.52-2.55
4 Ir 0.6667 0.3333 0.2396  2 Si 2.52-2.55

Computed properties:
Final energy   -9.15 eV per atom
Magnetic moment   6.393 μB per formula unit
Formation energy without anion corrections   -0.514 eV/atom



No. 2
First-principles (PBE) data for a geometry-optimized NaRu structure, as listed in Alexandria via LeMat-Bulk.

Unit cell a=9.0993 b=9.0993 c=9.0993 alpha=90.00 beta=90.00 gamma=90.00
With the nearest neighbours (Å) after each atom.
Sites, in units of the cell vectors:
1 Na 0.2075 0.2075 0.2075  4 Ru 3.06-3.12
2 Na 0.2075 0.7925 0.7925  4 Ru 3.06-3.12
3 Na 0.2925 0.2925 0.7075  4 Ru 3.06-3.12
4 Na 0.2925 0.7075 0.2925  4 Ru 3.06-3.12
5 Na 0.7075 0.2925 0.2925  4 Ru 3.06-3.12
6 Na 0.7075 0.7075 0.7075  4 Ru 3.06-3.12
7 Na 0.7925 0.2075 0.7925  4 Ru 3.06-3.12
8 Na 0.7925 0.7925 0.2075  4 Ru 3.06-3.12
9 Ru 0.0982 0.0982 0.9018  3 Ru 2.53
10 Ru 0.0982 0.9018 0.0982  3 Ru 2.53
11 Ru 0.4018 0.4018 0.4018  3 Ru 2.53
12 Ru 0.4018 0.5982 0.5982  3 Ru 2.53
13 Ru 0.5982 0.4018 0.5982  3 Ru 2.53
14 Ru 0.5982 0.5982 0.4018  3 Ru 2.53
15 Ru 0.9018 0.0982 0.0982  3 Ru 2.53
16 Ru 0.9018 0.9018 0.9018  3 Ru 2.53

Computed properties:
Final energy   -3.84 eV per atom
Magnetic moment   2.901 μB per formula unit
DFT formation energy   1.4598 eV per atom



No. 3
First-principles (PBE) data for a geometry-optimized Nd4TlPt structure, as listed in Alexandria via LeMat-Bulk.

Unit cell a=7.5861 b=7.5168 c=7.2005 alpha=90.00 beta=93.24 gamma=90.00
With the nearest neighbours (Å) after each atom.
Sites, in units of the cell vectors:
1 Nd 0.1450 0.1648 0.1771  2 Pt 2.91-3.00
2 Nd 0.1450 0.3352 0.6771  2 Pt 2.91-3.00
3 Nd 0.3280 0.6428 0.1143  1 Pt 2.79, 1 Tl 3.12
4 Nd 0.3280 0.8572 0.6143  1 Pt 2.79, 1 Tl 3.12
5 Nd 0.6720 0.1428 0.3857  1 Pt 2.79, 1 Tl 3.12
6 Nd 0.6720 0.3572 0.8857  1 Pt 2.79, 1 Tl 3.12
7 Nd 0.8550 0.6648 0.3229  2 Pt 2.91-3.00
8 Nd 0.8550 0.8352 0.8229  2 Pt 2.91-3.00
9 Tl 0.5000 0.0000 0.0000  6 Nd 3.12-3.29
10 Tl 0.5000 0.5000 0.5000  6 Nd 3.12-3.29
11 Pt 0.0000 0.0000 0.5000  6 Nd 2.79-3.00
12 Pt 0.0000 0.5000 0.0000  6 Nd 2.79-3.00

Computed properties:
Final energy   -4.95 eV per atom
Magnetic moment   0.001 μB per formula unit
DFT formation energy   -0.3740 eV per atom
Energy above the lowest structure with this stoichiometry   1.07 eV/f.u.



No. 4
First-principles (PBE) data for a geometry-optimized NpBeCuH6 structure, as listed in Alexandria via LeMat-Bulk.

Unit cell a=4.1980 b=4.1980 c=4.2514 alpha=90.00 beta=90.00 gamma=120.00
With the nearest neighbours (Å) after each atom.
Sites, in units of the cell vectors:
1 Np 0.0000 0.0000 0.0000  12 H 2.30
2 Be 0.6667 0.3333 0.5000  6 H 1.66
3 Cu 0.3333 0.6667 0.5000  6 H 1.74
4 H 0.5081 0.0163 0.2188  1 Be 1.66, 1 Cu 1.74
5 H 0.5081 0.0163 0.7812  1 Be 1.66, 1 Cu 1.74
6 H 0.5081 0.4919 0.2188  1 Be 1.66, 1 Cu 1.74
7 H 0.5081 0.4919 0.7812  1 Be 1.66, 1 Cu 1.74
8 H 0.9837 0.4919 0.2188  1 Be 1.66, 1 Cu 1.74
9 H 0.9837 0.4919 0.7812  1 Be 1.66, 1 Cu 1.74

Computed properties:
Final energy   -4.55 eV per atom
Magnetic moment   4.018 μB per formula unit



No. 5
First-principles (PBE) data for a geometry-optimized CeTlIr structure, as listed in Alexandria via LeMat-Bulk.

Unit cell a=3.8216 b=18.1928 c=4.1459 alpha=90.00 beta=90.00 gamma=90.00
With the nearest neighbours (Å) after each atom.
Sites, in units of the cell vectors:
1 Ce 0.0000 0.0849 0.2500  4 Ir 2.87
2 Ce 0.0000 0.9151 0.7500  4 Ir 2.87
3 Ce 0.5000 0.4151 0.7500  4 Ir 2.87
4 Ce 0.5000 0.5849 0.2500  4 Ir 2.87
5 Tl 0.0000 0.2893 0.2500  1 Ir 2.80
6 Tl 0.0000 0.7107 0.7500  1 Ir 2.80
7 Tl 0.5000 0.2107 0.7500  1 Ir 2.80
8 Tl 0.5000 0.7893 0.2500  1 Ir 2.80
9 Ir 0.0000 0.4432 0.2500  1 Tl 2.80, 4 Ce 2.87, 2 Ir 2.93
10 Ir 0.0000 0.5568 0.7500  1 Tl 2.80, 4 Ce 2.87, 2 Ir 2.93
11 Ir 0.5000 0.0568 0.7500  1 Tl 2.80, 4 Ce 2.87, 2 Ir 2.93
12 Ir 0.5000 0.9432 0.2500  1 Tl 2.80, 4 Ce 2.87, 2 Ir 2.93

Computed properties:
Final energy   -6.26 eV per atom
Magnetic moment   0.239 μB per formula unit
DFT formation energy   -0.5385 eV per atom



No. 6
First-principles (PBE) data for a geometry-optimized PtRhBr2 structure, as listed in Alexandria via LeMat-Bulk.

Unit cell a=3.6671 b=3.6671 c=23.3215 alpha=90.00 beta=90.00 gamma=120.00
With the nearest neighbours (Å) after each atom.
Sites, in units of the cell vectors:
1 Pt 0.0000 0.0000 0.0000  2 Br 2.40
2 Pt 0.3333 0.6667 0.6667  2 Br 2.40
3 Pt 0.6667 0.3333 0.3333  2 Br 2.40
4 Rh 0.0000 0.0000 0.5000  6 Br 2.58
5 Rh 0.3333 0.6667 0.1667  6 Br 2.58
6 Rh 0.6667 0.3333 0.8333  6 Br 2.58
7 Br 0.0000 0.0000 0.1031  1 Pt 2.40, 3 Rh 2.58
8 Br 0.0000 0.0000 0.8969  1 Pt 2.40, 3 Rh 2.58
9 Br 0.3333 0.6667 0.5636  1 Pt 2.40, 3 Rh 2.58
10 Br 0.3333 0.6667 0.7698  1 Pt 2.40, 3 Rh 2.58
11 Br 0.6667 0.3333 0.2302  1 Pt 2.40, 3 Rh 2.58
12 Br 0.6667 0.3333 0.4364  1 Pt 2.40, 3 Rh 2.58

Computed properties:
Final energy   -3.76 eV per atom
Magnetic moment   0.000 μB per formula unit
Energy above the lowest structure with this stoichiometry   1.83 eV/f.u.
Formation energy without anion corrections   0.423 eV/atom



No. 7
First-principles (PBE) data for a geometry-optimized CeEuZnPd structure, as listed in Alexandria via LeMat-Bulk.

Unit cell a=7.2836 b=7.2836 c=7.2836 alpha=90.00 beta=90.00 gamma=90.00
With the nearest neighbours (Å) after each atom.
Sites, in units of the cell vectors:
1 Ce 0.0000 0.0000 0.0000  4 Pd 3.15, 4 Zn 3.15
2 Ce 0.0000 0.5000 0.5000  4 Pd 3.15, 4 Zn 3.15
3 Ce 0.5000 0.0000 0.5000  4 Pd 3.15, 4 Zn 3.15
4 Ce 0.5000 0.5000 0.0000  4 Pd 3.15, 4 Zn 3.15
5 Eu 0.0000 0.0000 0.5000  4 Pd 3.15, 4 Zn 3.15
6 Eu 0.0000 0.5000 0.0000  4 Pd 3.15, 4 Zn 3.15
7 Eu 0.5000 0.0000 0.0000  4 Pd 3.15, 4 Zn 3.15
8 Eu 0.5000 0.5000 0.5000  4 Pd 3.15, 4 Zn 3.15
9 Zn 0.2500 0.2500 0.2500  4 Ce 3.15, 4 Eu 3.15
10 Zn 0.2500 0.7500 0.7500  4 Ce 3.15, 4 Eu 3.15
11 Zn 0.7500 0.2500 0.7500  4 Ce 3.15, 4 Eu 3.15
12 Zn 0.7500 0.7500 0.2500  4 Ce 3.15, 4 Eu 3.15
13 Pd 0.2500 0.2500 0.7500  4 Ce 3.15, 4 Eu 3.15
14 Pd 0.2500 0.7500 0.2500  4 Ce 3.15, 4 Eu 3.15
15 Pd 0.7500 0.2500 0.2500  4 Ce 3.15, 4 Eu 3.15
16 Pd 0.7500 0.7500 0.7500  4 Ce 3.15, 4 Eu 3.15

Computed properties:
Final energy   -6.07 eV per atom
Magnetic moment   7.837 μB per formula unit
DFT formation energy   -0.3974 eV per atom



No. 8
First-principles (PBE) data for a geometry-optimized CrB2Br structure, as listed in Alexandria via LeMat-Bulk.

Unit cell a=5.6515 b=5.6515 c=5.6515 alpha=90.00 beta=90.00 gamma=90.00
With the nearest neighbours (Å) after each atom.
Sites, in units of the cell vectors:
1 Cr 0.0000 0.0000 0.0000  8 B 2.45
2 Cr 0.0000 0.5000 0.5000  8 B 2.45
3 Cr 0.5000 0.0000 0.5000  8 B 2.45
4 Cr 0.5000 0.5000 0.0000  8 B 2.45
5 B 0.2500 0.2500 0.2500  4 Cr 2.45, 4 Br 2.45
6 B 0.2500 0.2500 0.7500  4 Cr 2.45, 4 Br 2.45
7 B 0.2500 0.7500 0.2500  4 Cr 2.45, 4 Br 2.45
8 B 0.2500 0.7500 0.7500  4 Cr 2.45, 4 Br 2.45
9 B 0.7500 0.2500 0.2500  4 Cr 2.45, 4 Br 2.45
10 B 0.7500 0.2500 0.7500  4 Cr 2.45, 4 Br 2.45
11 B 0.7500 0.7500 0.2500  4 Cr 2.45, 4 Br 2.45
12 B 0.7500 0.7500 0.7500  4 Cr 2.45, 4 Br 2.45
13 Br 0.0000 0.0000 0.5000  8 B 2.45
14 Br 0.0000 0.5000 0.0000  8 B 2.45
15 Br 0.5000 0.0000 0.0000  8 B 2.45
16 Br 0.5000 0.5000 0.5000  8 B 2.45

Computed properties:
Final energy   -4.12 eV per atom
Magnetic moment   1.089 μB per formula unit
Energy above the lowest structure with this stoichiometry   2.75 eV/f.u.
Formation energy without anion corrections   2.038 eV/atom